This record from Alexandria describes a relaxed LiTbCuNi crystal. The functional is PBE.

a b c (Å): 6.4962 6.4962 6.4962
angles (deg): 90.00 90.00 90.00
Closest atoms and distances in Å follow each position.
Space group F-43m (No. 216)
Inequivalent atoms, fractional coordinates:
Li: 0.0000 0.0000 0.0000 x4  4 Cu 2.81, 4 Ni 2.81
Tb: 0.0000 0.0000 0.5000 x4  4 Ni 2.81, 4 Cu 2.81
Cu: 0.2500 0.2500 0.7500 x4  4 Tb 2.81, 4 Li 2.81
Ni: 0.2500 0.2500 0.2500 x4  4 Tb 2.81, 4 Li 2.81

***

This record from Alexandria describes a relaxed Ho3TmPb12 crystal. The functional is PBE.

a b c (Å): 4.9072 4.9072 19.1959
angles (deg): 90.00 90.00 90.00
Closest atoms and distances in Å follow each position.
Space group P4/mmm (No. 123)
Inequivalent atoms, fractional coordinates:
Ho: 0.0000 0.0000 0.0000 x1  12 Pb 3.43-3.47
Ho: 0.0000 0.0000 0.2501 x2  12 Pb 3.43-3.47
Tm: 0.0000 0.0000 0.5000 x1  12 Pb 3.42-3.47
Pb: 0.0000 0.5000 0.1251 x4  4 Ho 3.43, 8 Pb 3.43-3.47
Pb: 0.0000 0.5000 0.3757 x4  8 Pb 3.42-3.47, 2 Tm 3.42, 2 Ho 3.44
Pb: 0.5000 0.5000 0.0000 x1  8 Pb 3.43, 4 Ho 3.47
Pb: 0.5000 0.5000 0.2504 x2  8 Pb 3.44, 4 Ho 3.47
Pb: 0.5000 0.5000 0.5000 x1  8 Pb 3.42, 4 Tm 3.47

***

Formation energy across the listed records, respectively: -87; -253 meV per atom.